Computed, not measured: Li3Pa3AgTe8 after structural relaxation at the GGA-PBE level of DFT.

abc: 8.5682 8.5682 21.3439
angles: 90.00 90.00 120.00
Space group R-3m (No. 166, hexagonal axes)
One atom of each set of equivalent atoms:
Li 0.0000 0.5000 0.0000 x9
Pa 0.0000 0.5000 0.5000 x9
Ag 0.0000 0.0000 0.5000 x3
Te 0.0000 0.0000 0.2551 x6
Te 0.0033 0.5016 0.7489 x18

**ρ**: 6.76 g/cm3
**Calculated total energy**: -220.0 eV for the cell shown
**Formation energy without anion corrections**: -742 meV per atom
**Calculated volume**: 1357 Å³ per cell
**Magnetic moment**: 9.04 Bohr magnetons per cell

Computed, not measured: LiPaZnAg after structural relaxation at the GGA-PBE level of DFT.

abc: 6.868 6.868 6.868
angles: 90.00 90.00 90.00
Space group F-43m (No. 216)
One atom of each set of equivalent atoms:
Li 0.000 0.000 0.000 x4
Pa 0.000 0.000 0.500 x4
Zn 0.250 0.250 0.750 x4
Ag 0.250 0.250 0.250 x4

**Energy relative to the elements**: 0.1655 eV per atom
**ρ**: 8.43 g/cm3
**Calculated total energy**: -59.5 eV for the cell shown
**Calculated volume**: 324 Å³ per cell
**Magnetic moment**: 0.01 Bohr magnetons per cell

Computed, not measured: Li6Ag2Pb3 after structural relaxation at the GGA-PBE level of DFT.

abc: 4.467 4.467 24.680
angles: 90.00 90.00 90.00
Space group I4/mmm (No. 139)
One atom of each set of equivalent atoms:
Li 0.000 0.000 0.232 x4
Li 0.000 0.500 0.068 x8
Ag 0.000 0.000 0.129 x4
Pb 0.000 0.000 0.349 x4
Pb 0.000 0.000 0.500 x2

**Energy relative to the elements**: -0.0738 eV per atom
**ρ**: 5.93 g/cm3
**Calculated total energy**: -58.2 eV for the cell shown
**Calculated volume**: 493 Å³ per cell
**Magnetic moment**: 0.00 Bohr magnetons per cell

Computed, not measured: Li6Ag3Pb after structural relaxation at the GGA-PBE level of DFT.

abc: 11.3429 11.3429 5.0407
angles: 90.00 90.00 120.00
Space group R3m (No. 160, hexagonal axes)
One atom of each set of equivalent atoms:
Li 0.0773 0.1546 0.0000 x9
Li 0.2021 0.4042 0.0737 x9
Ag 0.0163 0.5082 0.2332 x9
Pb 0.0000 0.0000 0.5192 x3

**Energy relative to the elements**: -0.0186 eV per atom
**ρ**: 5.08 g/cm3
**Calculated total energy**: -71.8 eV for the cell shown
**Calculated volume**: 562 Å³ per cell
**Magnetic moment**: 0.00 Bohr magnetons per cell

Computed, not measured: Li5AgPb4 after structural relaxation at the GGA-PBE level of DFT.

abc: 3.501 3.501 17.248
angles: 90.00 90.00 90.00
Space group P4/mmm (No. 123)
One atom of each set of equivalent atoms:
Li 0.000 0.000 0.000 x1
Li 0.000 0.000 0.211 x2
Li 0.000 0.000 0.416 x2
Ag 0.500 0.500 0.500 x1
Pb 0.500 0.500 0.105 x2
Pb 0.500 0.500 0.316 x2

**Energy relative to the elements**: -0.2459 eV per atom
**ρ**: 7.63 g/cm3
**Calculated total energy**: -29.7 eV for the cell shown
**Calculated volume**: 211 Å³ per cell
**Magnetic moment**: 0.00 Bohr magnetons per cell

Computed, not measured: Li8Ag6Pb after structural relaxation at the GGA-PBE level of DFT.

abc: 8.0923 8.0923 16.1031
angles: 90.00 90.00 120.00
Space group R-3 (No. 148, hexagonal axes)
One atom of each set of equivalent atoms:
Li 0.0000 0.0000 0.1727 x6
Li 0.0050 0.6821 0.6177 x18
Ag 0.0021 0.3534 0.5477 x18
Pb 0.0000 0.0000 0.5000 x3

**Energy relative to the elements**: -0.0724 eV per atom
**ρ**: 4.96 g/cm3
**Calculated total energy**: -111.6 eV for the cell shown
**Calculated volume**: 913 Å³ per cell
**Magnetic moment**: 0.00 Bohr magnetons per cell

Computed, not measured: Li2Ag5Pb2 after structural relaxation at the GGA-PBE level of DFT.

abc: 5.886 16.484 7.571
angles: 90.00 90.00 90.00
Space group Imma (No. 74)
One atom of each set of equivalent atoms:
Li 0.000 0.069 0.064 x8
Ag 0.000 0.250 0.967 x4
Ag 0.250 0.108 0.750 x8
Ag 0.250 0.164 0.250 x8
Pb 0.000 0.000 0.500 x4
Pb 0.000 0.250 0.561 x4

**Energy relative to the elements**: 0.0155 eV per atom
**ρ**: 8.75 g/cm3
**Calculated total energy**: -101.4 eV for the cell shown
**Calculated volume**: 734 Å³ per cell
**Magnetic moment**: 0.00 Bohr magnetons per cell

Computed, not measured: LiAg3Pb after structural relaxation at the GGA-PBE level of DFT.

abc: 5.568 7.564 5.654
angles: 90.00 119.18 90.00
Space group P2_1/m (No. 11)
One atom of each set of equivalent atoms:
Li 0.166 0.250 0.299 x2
Ag 0.140 0.064 0.831 x4
Ag 0.305 0.750 0.650 x2
Pb 0.378 0.750 0.186 x2

**Energy relative to the elements**: 0.0105 eV per atom
**ρ**: 8.59 g/cm3
**Offset from the most stable computed form**: 79 meV per atom
**Calculated total energy**: -28.2 eV for the cell shown
**Calculated volume**: 208 Å³ per cell
**Magnetic moment**: 0.00 Bohr magnetons per cell

Repeat the seventh record exactly.
Computed, not measured: Li2Ag5Pb2 after structural relaxation at the GGA-PBE level of DFT.

abc: 5.886 16.484 7.571
angles: 90.00 90.00 90.00
Space group Imma (No. 74)
One atom of each set of equivalent atoms:
Li 0.000 0.069 0.064 x8
Ag 0.000 0.250 0.967 x4
Ag 0.250 0.108 0.750 x8
Ag 0.250 0.164 0.250 x8
Pb 0.000 0.000 0.500 x4
Pb 0.000 0.250 0.561 x4

**Energy relative to the elements**: 0.0155 eV per atom
**ρ**: 8.75 g/cm3
**Calculated total energy**: -101.4 eV for the cell shown
**Calculated volume**: 734 Å³ per cell
**Magnetic moment**: 0.00 Bohr magnetons per cell